# La4CoO8

A geometry-optimized La4CoO8 structure (GGA+U, Alexandria via LeMat-Bulk).

```
La4CoO8
1.0
-11.1929 2.3245 -6.9266
-12.2125 -4.2373 -3.4003
10.2505 2.7703 8.1188
Co O La
2 16 8
Direct
0.2500 0.7500 0.5000
0.5000 0.5000 0.0000
0.0065 0.5065 0.0131
0.7435 0.2565 0.0000
0.0065 0.9935 0.5000
0.8434 0.3434 0.5000
0.1693 0.6693 0.5000
0.2565 0.2565 0.5131
0.4935 0.5065 0.5000
0.7435 0.7435 0.4869
0.0934 0.0934 0.0000
0.4935 0.9935 0.9869
0.5807 0.5807 0.0000
0.2565 0.7435 0.0000
0.4193 0.4193 0.0000
0.9066 0.9066 0.0000
0.3307 0.8307 0.5000
0.6566 0.1566 0.5000
0.0654 0.5654 0.5000
0.9317 0.4317 0.5000
0.6846 0.6846 0.0000
0.3154 0.3154 0.0000
0.8183 0.8183 0.0000
0.1817 0.1817 0.0000
0.5683 0.0683 0.5000
0.4346 0.9346 0.5000
```

Values from the calculation:
calculated total energy = -0.28465 hartree per atom
space-group type = No. 141